Record 1
Below is a relaxed structure of Ca2Pt, with properties calculated at the GGA-PBEsol level.

Calculated values
E_form in eV per atom: -0.6114
Total moment in Bohr magnetons per cell: 0.00
SG: Fd-3m, No. 227
Uncorrected energy in eV for the cell shown: -104.5

Cell: 9.5355 9.5355 9.5355 Å, 60.00 60.00 60.00°
With the nearest neighbours (Å) after each atom.
Fractional coordinates of all 24 atoms:
Ca 0.0000 0.0000 0.0000  6 Pt 3.10, 6 Ca 3.38
Ca 0.0000 0.0000 0.5000  6 Pt 3.10, 6 Ca 3.38
Ca 0.0000 0.5000 0.0000  6 Pt 3.10, 6 Ca 3.38
Ca 0.1781 0.1781 0.5719  2 Pt 2.89
Ca 0.1781 0.5719 0.1781  2 Pt 2.89
Ca 0.1781 0.5719 0.5719  2 Pt 2.89
Ca 0.4281 0.4281 0.8219  2 Pt 2.89
Ca 0.4281 0.8219 0.4281  2 Pt 2.89
Ca 0.4281 0.8219 0.8219  2 Pt 2.89
Ca 0.5000 0.0000 0.0000  6 Pt 3.10, 6 Ca 3.38
Ca 0.5719 0.1781 0.1781  2 Pt 2.89
Ca 0.5719 0.1781 0.5719  2 Pt 2.89
Ca 0.5719 0.5719 0.1781  2 Pt 2.89
Ca 0.8219 0.4281 0.4281  2 Pt 2.89
Ca 0.8219 0.4281 0.8219  2 Pt 2.89
Ca 0.8219 0.8219 0.4281  2 Pt 2.89
Pt 0.1822 0.7726 0.7726  6 Ca 2.89-3.10
Pt 0.2274 0.2274 0.2274  6 Ca 2.89-3.10
Pt 0.2274 0.2274 0.8178  6 Ca 2.89-3.10
Pt 0.2274 0.8178 0.2274  6 Ca 2.89-3.10
Pt 0.7726 0.1822 0.7726  6 Ca 2.89-3.10
Pt 0.7726 0.7726 0.1822  6 Ca 2.89-3.10
Pt 0.7726 0.7726 0.7726  6 Ca 2.89-3.10
Pt 0.8178 0.2274 0.2274  6 Ca 2.89-3.10

***

Record 2
Below is a relaxed structure of Ca3Pt, with properties calculated at the GGA-PBEsol level.

Calculated values
E_form in eV per atom: -0.5800
Total moment in Bohr magnetons per cell: 0.00
SG: Pnma, No. 62
Uncorrected energy in eV for the cell shown: -62.7

Cell: 7.6625 9.3406 6.4772 Å, 90.00 90.00 90.00°
With the nearest neighbours (Å) after each atom.
Fractional coordinates of all 16 atoms:
Ca 0.0393 0.2500 0.1391  2 Pt 2.84-2.92
Ca 0.1692 0.0648 0.6601  3 Pt 2.94-3.25
Ca 0.1692 0.4352 0.6601  3 Pt 2.94-3.25
Ca 0.3308 0.5648 0.1601  3 Pt 2.94-3.25
Ca 0.3308 0.9352 0.1601  3 Pt 2.94-3.25
Ca 0.4607 0.7500 0.6391  2 Pt 2.84-2.92
Ca 0.5393 0.2500 0.3609  2 Pt 2.84-2.92
Ca 0.6692 0.0648 0.8399  3 Pt 2.94-3.25
Ca 0.6692 0.4352 0.8399  3 Pt 2.94-3.25
Ca 0.8308 0.5648 0.3399  3 Pt 2.94-3.25
Ca 0.8308 0.9352 0.3399  3 Pt 2.94-3.25
Ca 0.9607 0.7500 0.8609  2 Pt 2.84-2.92
Pt 0.1249 0.7500 0.4544  6 Ca 2.84-3.02
Pt 0.3751 0.2500 0.9544  6 Ca 2.84-3.02
Pt 0.6249 0.7500 0.0456  6 Ca 2.84-3.02
Pt 0.8751 0.2500 0.5456  6 Ca 2.84-3.02